PBE YTiBi, optimized geometry; final energy = -6.554 eV/atom; formation energy from the elements = -1.42 eV/f.u.; total magnetization = 0.0 Bohr magnetons per cell
1.0
4.2757 0.0000 0.0000
0.0000 4.2757 0.0000
0.0000 0.0000 8.1107
Y Ti Bi
2 2 2
direct
0.2500 0.2500 0.1525
0.7500 0.7500 0.8475
0.2500 0.7500 0.5000
0.7500 0.2500 0.5000
0.2500 0.2500 0.7516
0.7500 0.7500 0.2484

PBE YTiBi2, optimized geometry; final energy = -5.491 eV/atom; formation energy from the elements = 0.16 eV/f.u.; total magnetization = 0.0 Bohr magnetons per cell; energy above the lowest structure with this stoichiometry = 294.7 meV/atom
1.0
1.7487 1.0096 10.7458
-1.7487 1.0096 10.7458
0.0000 -2.0192 10.7458
Y Ti Bi
1 1 2
direct
0.0000 0.0000 0.0000
0.5000 0.5000 0.5000
0.0993 0.0993 0.0993
0.9007 0.9007 0.9007